Entry 1:
VASP calculation (GGA-PBE) on a geometry-optimized La6PrSm2Mg structure.

The structure belongs to space group C2/c (No. 15); the cell edges are 10.706, 13.889 and 9.597 Å and the angles 90.00°, 99.90° and 90.00°. The asymmetric unit holds La at (0.056, 0.119, 0.098), La at (0.092, 0.328, 0.920), La at (0.245, 0.289, 0.328), Pr at (0.000, 0.431, 0.250), Sm at (0.233, 0.468, 0.595) and Mg at (0.000, 0.098, 0.750).

For the formation energy, the calculation gives 0.082 eV/atom. As for the total magnetic moment: 0.0 μB per formula unit.

=====

Entry 2:
VASP calculation (GGA-PBE) on a geometry-optimized La2Pr6Sm2Mg structure.

The structure belongs to space group C2/m (No. 12); the cell edges are 5.791, 17.764 and 7.683 Å and the angles 90.00°, 90.03° and 90.00°. The asymmetric unit holds La at (0.000, 0.187, 0.000), Pr at (0.001, 0.000, 0.249), Pr at (0.001, 0.364, 0.234), Sm at (0.000, 0.181, 0.500) and Mg at (0.000, 0.500, 0.500).

For the formation energy, the calculation gives 0.105 eV/atom. As for the total magnetic moment: 0.0 μB per formula unit.

=====

Entry 3:
VASP calculation (GGA-PBE) on a geometry-optimized LaPr2Sm4Mg structure.

The structure belongs to space group P2/m (No. 10); the cell edges are 5.850, 5.861 and 7.796 Å and the angles 90.00°, 90.09° and 90.00°. The asymmetric unit holds La at (0.000, 0.000, 0.000), Pr at (0.000, 0.000, 0.500), Pr at (0.500, 0.500, 0.500), Sm at (0.001, 0.500, 0.231), Sm at (0.500, 0.000, 0.231) and Mg at (0.500, 0.500, 0.000).

For the formation energy, the calculation gives 0.093 eV/atom. As for the total magnetic moment: 0.0 μB per formula unit.

=====

Entry 4:
VASP calculation (GGA-PBE) on a geometry-optimized La2Pr6Sm3Mg structure.

The structure belongs to space group C2/m (No. 12); the cell edges are 6.344, 10.994 and 12.115 Å and the angles 90.00°, 100.18° and 90.00°. The asymmetric unit holds La at (0.000, 0.167, 0.000), Pr at (0.247, 0.335, 0.251), Pr at (0.247, 0.500, 0.748), Sm at (0.000, 0.000, 0.500), Sm at (0.000, 0.333, 0.500) and Mg at (0.000, 0.500, 0.000).

For the formation energy, the calculation gives 0.008 eV/atom. As for the total magnetic moment: 0.0 μB per formula unit.

=====

Entry 5:
VASP calculation (GGA-PBE) on a geometry-optimized La4Pr2SmMg structure.

The structure belongs to space group Pmmm (No. 47); the cell edges are 5.171, 5.182 and 10.358 Å and the angles 90.00°, 90.00° and 90.00°. The asymmetric unit holds La at (0.000, 0.000, 0.246), La at (0.500, 0.500, 0.247), Pr at (0.000, 0.500, 0.000), Pr at (0.500, 0.000, 0.500), Sm at (0.000, 0.500, 0.500) and Mg at (0.500, 0.000, 0.000).

For the formation energy, the calculation gives -0.002 eV/atom. As for the total magnetic moment: 0.0 μB per formula unit.

=====

Entry 6:
VASP calculation (GGA-PBE) on a geometry-optimized La3Pr6Sm2Mg structure.

The structure belongs to space group C2/m (No. 12); the cell edges are 6.356, 11.027 and 12.135 Å and the angles 90.00°, 100.16° and 90.00°. The asymmetric unit holds La at (0.000, 0.000, 0.000), La at (0.000, 0.331, 0.000), Pr at (0.245, 0.335, 0.745), Pr at (0.249, 0.500, 0.254), Sm at (0.000, 0.167, 0.500) and Mg at (0.000, 0.500, 0.500).

For the formation energy, the calculation gives 0.019 eV/atom. As for the total magnetic moment: 0.0 μB per formula unit.

=====

Number 1: ρ 6139 kg/m³. Number 2: ρ 6085 kg/m³. Number 3: ρ 6501 kg/m³. Number 4: ρ 6384 kg/m³. Number 5: ρ 6055 kg/m³. Number 6: ρ 6296 kg/m³.